DFT (PBE-GGA) results for a relaxed structure of Pt2RhBr.

formation energy from raw total energies: 0.48 eV/atom
uncorrected energy: -19.2 eV per cell
energy above the most stable polymorph in this dataset: 91.3 meV per atom

Unit cell a=3.122 b=3.122 c=7.144 alpha=90.00 beta=90.00 gamma=90.00
Fractional coordinates of all 4 atoms:
Pt 0.000 0.000 0.215
Pt 0.000 0.000 0.785
Rh 0.500 0.500 0.000
Br 0.500 0.500 0.500

=====

DFT (PBE-GGA) results for a relaxed structure of CaHoAg.

formation energy from the elements: -0.5 eV/f.u.
uncorrected energy: -9.9 eV per cell
energy above the most stable polymorph in this dataset: 0.0 meV per atom

Unit cell a=6.955 b=6.955 c=6.955 alpha=149.53 beta=149.53 gamma=43.64
Fractional coordinates of all 3 atoms:
Ca 0.000 0.000 0.000
Ho 0.279 0.279 0.000
Ag 0.654 0.654 0.000

=====

DFT (PBE-GGA) results for a relaxed structure of K2SiTc.

formation energy from raw total energies: 1.00 eV/atom
uncorrected energy: -14.0 eV per cell

Unit cell a=6.320 b=6.320 c=6.320 alpha=143.92 beta=143.92 gamma=51.95
Fractional coordinates of all 4 atoms:
K 0.250 0.750 0.500
K 0.750 0.250 0.500
Si 0.000 0.000 0.000
Tc 0.500 0.500 0.000

=====

DFT (PBE-GGA) results for a relaxed structure of CsAc2Th.

formation energy from the elements: 1.1 eV/f.u.
uncorrected energy: -15.4 eV per cell

Unit cell a=14.309 b=14.309 c=14.309 alpha=15.63 beta=15.63 gamma=15.63
Fractional coordinates of all 4 atoms:
Cs 0.000 0.000 0.000
Ac 0.097 0.097 0.097
Ac 0.903 0.903 0.903
Th 0.500 0.500 0.500

=====

DFT (PBE-GGA) results for a relaxed structure of LaYNiPd.

formation energy from the elements: -2.4 eV/f.u.
uncorrected energy: -24.8 eV per cell
energy above the most stable polymorph in this dataset: 0.0 meV per atom

Unit cell a=4.548 b=5.588 c=5.588 alpha=40.45 beta=90.00 gamma=90.00
Fractional coordinates of all 4 atoms:
La 0.000 0.000 0.000
Y 0.500 0.723 0.723
Ni 0.000 0.275 0.275
Pd 0.500 0.436 0.436

=====

DFT (PBE-GGA) results for a relaxed structure of FeCoBr2.

formation energy from raw total energies: 0.33 eV/atom
uncorrected energy: -35.2 eV per cell
energy above the most stable polymorph in this dataset: 346.0 meV per atom

Unit cell a=6.849 b=6.849 c=6.849 alpha=131.46 beta=131.46 gamma=71.08
Fractional coordinates of all 8 atoms:
Fe 0.000 0.000 0.000
Fe 0.750 0.250 0.500
Co 0.250 0.750 0.500
Co 0.500 0.500 0.000
Br 0.132 0.625 0.007
Br 0.375 0.382 0.507
Br 0.618 0.125 0.993
Br 0.875 0.868 0.493